No. 1
# TlBrO3

A relaxed structure of TlBrO3 (PBE-GGA, Alexandria via LeMat-Bulk).

## Properties
Formation energy (no corrections) ... -0.13 eV per atom
DOS at the Fermi energy ... 0.2 states/eV/f.u.

Unit cell a=7.8535 b=7.8535 c=6.3266 alpha=101.96 beta=101.96 gamma=71.81
Sites, in units of the cell vectors:
Tl 0.0855 0.9145 0.7500
Tl 0.2890 0.7110 0.2500
Tl 0.7110 0.2890 0.7500
Tl 0.9145 0.0855 0.2500
Br 0.2093 0.3863 0.7744
Br 0.3863 0.2093 0.2744
Br 0.6137 0.7907 0.7256
Br 0.7907 0.6137 0.2256
O 0.0307 0.8108 0.4028
O 0.1428 0.6197 0.8866
O 0.1892 0.9693 0.0972
O 0.3073 0.4439 0.3615
O 0.3803 0.8572 0.6134
O 0.4439 0.3073 0.8615
O 0.5561 0.6927 0.1385
O 0.6197 0.1428 0.3866
O 0.6927 0.5561 0.6385
O 0.8108 0.0307 0.9028
O 0.8572 0.3803 0.1134
O 0.9693 0.1892 0.5972


No. 2
# Tl3BrO

A relaxed structure of Tl3BrO (PBE-GGA, Alexandria via LeMat-Bulk).

## Properties
Formation energy (no corrections) ... 0.34 eV per atom
E above lowest polymorph ... 1009 meV per atom
DOS at the Fermi energy ... 3.4 states/eV/f.u.

Unit cell a=6.1256 b=6.1256 c=6.1256 alpha=90.00 beta=90.00 gamma=90.00
Sites, in units of the cell vectors:
Tl 0.0000 0.0000 0.5000
Tl 0.0000 0.5000 0.0000
Tl 0.5000 0.0000 0.0000
Br 0.0000 0.0000 0.0000
O 0.5000 0.5000 0.5000


No. 3
# TlBrO3

A relaxed structure of TlBrO3 (PBE-GGA, Alexandria via LeMat-Bulk).

## Properties
Formation energy (no corrections) ... 0.24 eV per atom
DOS at the Fermi energy ... 0.0 states/eV/f.u.

Unit cell a=6.3871 b=6.3871 c=5.4190 alpha=101.45 beta=101.45 gamma=58.70
Sites, in units of the cell vectors:
Tl 0.1693 0.1693 0.2226
Tl 0.8307 0.8307 0.7774
Br 0.5000 0.5000 0.0000
Br 0.5000 0.5000 0.5000
O 0.2157 0.6419 0.2133
O 0.3571 0.3571 0.6782
O 0.3581 0.7843 0.7867
O 0.6419 0.2157 0.2133
O 0.6429 0.6429 0.3218
O 0.7843 0.3581 0.7867


No. 4
# Tl2BrO

A relaxed structure of Tl2BrO (PBE-GGA, Alexandria via LeMat-Bulk).

## Properties
Formation energy (no corrections) ... -0.64 eV per atom
E above lowest polymorph ... 0 meV per atom

Unit cell a=5.9646 b=6.6272 c=6.9390 alpha=85.15 beta=66.57 gamma=85.37
Sites, in units of the cell vectors:
Tl 0.0000 0.0000 0.0000
Tl 0.1692 0.4498 0.2456
Tl 0.5826 0.5237 0.3216
Tl 0.7535 0.9732 0.5677
Br 0.3561 0.4894 0.7832
Br 0.3775 0.9869 0.2777
O 0.8676 0.2657 0.2826
O 0.8819 0.7077 0.2895


No. 5
# Tl2BrO

A relaxed structure of Tl2BrO (PBE-GGA, Alexandria via LeMat-Bulk).

## Properties
Formation energy (no corrections) ... -0.53 eV per atom
E above lowest polymorph ... 106 meV per atom
DOS at the Fermi energy ... 3.2 states/eV/f.u.

Unit cell a=6.7189 b=6.7189 c=6.7189 alpha=114.41 beta=114.41 gamma=99.99
Sites, in units of the cell vectors:
Tl 0.0389 0.6250 0.9139
Tl 0.3750 0.2889 0.4139
Tl 0.7111 0.1250 0.0861
Tl 0.8750 0.9611 0.5861
Br 0.2500 0.7500 0.5000
Br 0.5000 0.5000 0.0000
O 0.0000 0.0000 0.0000
O 0.7500 0.2500 0.5000


No. 6
# Tl8BrO6

A relaxed structure of Tl8BrO6 (PBE-GGA, Alexandria via LeMat-Bulk).

## Properties
Formation energy (no corrections) ... -0.52 eV per atom
DOS at the Fermi energy ... 5.2 states/eV/f.u.

Unit cell a=7.1934 b=7.1934 c=7.1934 alpha=93.53 beta=93.53 gamma=93.53
Sites, in units of the cell vectors:
Tl 0.0461 0.3568 0.7078
Tl 0.2316 0.2316 0.2316
Tl 0.2922 0.9539 0.6432
Tl 0.3568 0.7078 0.0461
Tl 0.6432 0.2922 0.9539
Tl 0.7078 0.0461 0.3568
Tl 0.7684 0.7684 0.7684
Tl 0.9539 0.6432 0.2922
Br 0.5000 0.5000 0.5000
O 0.0140 0.6785 0.6487
O 0.3215 0.3513 0.9860
O 0.3513 0.9860 0.3215
O 0.6487 0.0140 0.6785
O 0.6785 0.6487 0.0140
O 0.9860 0.3215 0.3513


No. 7
# Tl2BrO

A relaxed structure of Tl2BrO (PBE-GGA, Alexandria via LeMat-Bulk).

## Properties
Formation energy (no corrections) ... -0.51 eV per atom
E above lowest polymorph ... 131 meV per atom
DOS at the Fermi energy ... 3.3 states/eV/f.u.

Unit cell a=7.7977 b=7.7977 c=7.7977 alpha=29.32 beta=29.32 gamma=29.32
Sites, in units of the cell vectors:
Tl 0.0000 0.0000 0.0000
Tl 0.2071 0.2071 0.2071
Br 0.4372 0.4372 0.4372
O 0.6244 0.6244 0.6244


No. 8
# Tl3BrO

A relaxed structure of Tl3BrO (PBE-GGA, Alexandria via LeMat-Bulk).

## Properties
Formation energy (no corrections) ... -0.64 eV per atom
E above lowest polymorph ... 30 meV per atom
DOS at the Fermi energy ... 0.0 states/eV/f.u.

Unit cell a=7.3343 b=6.0762 c=7.9251 alpha=90.00 beta=107.71 gamma=90.00
Sites, in units of the cell vectors:
Tl 0.0713 0.2500 0.1293
Tl 0.1106 0.2500 0.6466
Tl 0.4069 0.7500 0.7093
Tl 0.5931 0.2500 0.2907
Tl 0.8894 0.7500 0.3534
Tl 0.9287 0.7500 0.8707
Br 0.3167 0.7500 0.2836
Br 0.6833 0.2500 0.7164
O 0.0733 0.7500 0.6538
O 0.9267 0.2500 0.3462


No. 9
# Tl3BrO

A relaxed structure of Tl3BrO (PBE-GGA, Alexandria via LeMat-Bulk).

## Properties
Formation energy (no corrections) ... -0.67 eV per atom
E above lowest polymorph ... 0 meV per atom

Unit cell a=6.8490 b=6.8470 c=7.2308 alpha=90.00 beta=116.84 gamma=90.00
Sites, in units of the cell vectors:
Tl 0.0057 0.2500 0.1984
Tl 0.4580 0.0053 0.7442
Tl 0.4580 0.4947 0.7442
Tl 0.5420 0.5053 0.2558
Tl 0.5420 0.9947 0.2558
Tl 0.9943 0.7500 0.8016
Br 0.0124 0.2500 0.7071
Br 0.9876 0.7500 0.2929
O 0.3765 0.7500 0.9460
O 0.6235 0.2500 0.0540


No. 10
# Tl2BrO

A relaxed structure of Tl2BrO (PBE-GGA, Alexandria via LeMat-Bulk).

## Properties
Formation energy (no corrections) ... -0.19 eV per atom
E above lowest polymorph ... 445 meV per atom
DOS at the Fermi energy ... 2.2 states/eV/f.u.

Unit cell a=5.2958 b=5.2958 c=5.2958 alpha=60.00 beta=60.00 gamma=60.00
Sites, in units of the cell vectors:
Tl 0.2500 0.2500 0.2500
Tl 0.7500 0.7500 0.7500
Br 0.0000 0.0000 0.0000
O 0.5000 0.5000 0.5000


No. 11
# Tl12Br5O3

A relaxed structure of Tl12Br5O3 (PBE-GGA, Alexandria via LeMat-Bulk).

## Properties
Formation energy (no corrections) ... -0.49 eV per atom
DOS at the Fermi energy ... 1.6 states/eV/f.u.

Unit cell a=16.2977 b=16.2977 c=16.2977 alpha=109.47 beta=109.47 gamma=109.47
Sites, in units of the cell vectors:
Tl 0.0117 0.7114 0.6430
Tl 0.0117 0.8003 0.3687
Tl 0.0684 0.2114 0.1997
Tl 0.0684 0.3570 0.8687
Tl 0.1313 0.6997 0.4883
Tl 0.1313 0.9316 0.6430
Tl 0.1430 0.2114 0.5117
Tl 0.1430 0.4316 0.6313
Tl 0.1997 0.0684 0.2114
Tl 0.1997 0.6313 0.9883
Tl 0.2114 0.1997 0.0684
Tl 0.2114 0.5117 0.1430
Tl 0.2886 0.3570 0.9883
Tl 0.2886 0.4316 0.3003
Tl 0.3003 0.2886 0.4316
Tl 0.3003 0.5117 0.8687
Tl 0.3570 0.8687 0.0684
Tl 0.3570 0.9883 0.2886
Tl 0.3687 0.0117 0.8003
Tl 0.3687 0.8570 0.5684
Tl 0.4316 0.3003 0.2886
Tl 0.4316 0.6313 0.1430
Tl 0.4883 0.1313 0.6997
Tl 0.4883 0.8570 0.7886
Tl 0.5117 0.1430 0.2114
Tl 0.5117 0.8687 0.3003
Tl 0.5684 0.3687 0.8570
Tl 0.5684 0.6997 0.7114
Tl 0.6313 0.1430 0.4316
Tl 0.6313 0.9883 0.1997
Tl 0.6430 0.0117 0.7114
Tl 0.6430 0.1313 0.9316
Tl 0.6997 0.4883 0.1313
Tl 0.6997 0.7114 0.5684
Tl 0.7114 0.5684 0.6997
Tl 0.7114 0.6430 0.0117
Tl 0.7886 0.4883 0.8570
Tl 0.7886 0.8003 0.9316
Tl 0.8003 0.3687 0.0117
Tl 0.8003 0.9316 0.7886
Tl 0.8570 0.5684 0.3687
Tl 0.8570 0.7886 0.4883
Tl 0.8687 0.0684 0.3570
Tl 0.8687 0.3003 0.5117
Tl 0.9316 0.6430 0.1313
Tl 0.9316 0.7886 0.8003
Tl 0.9883 0.1997 0.6313
Tl 0.9883 0.2886 0.3570
Br 0.0000 0.0000 0.0000
Br 0.0000 0.0000 0.5000
Br 0.0000 0.5000 0.0000
Br 0.0000 0.5000 0.5000
Br 0.1250 0.7500 0.8750
Br 0.1250 0.8750 0.2500
Br 0.2500 0.1250 0.8750
Br 0.2500 0.6250 0.3750
Br 0.3750 0.2500 0.6250
Br 0.3750 0.6250 0.7500
Br 0.5000 0.0000 0.0000
Br 0.5000 0.0000 0.5000
Br 0.5000 0.5000 0.0000
Br 0.5000 0.5000 0.5000
Br 0.6250 0.3750 0.2500
Br 0.6250 0.7500 0.3750
Br 0.7500 0.3750 0.6250
Br 0.7500 0.8750 0.1250
Br 0.8750 0.1250 0.7500
Br 0.8750 0.2500 0.1250
O 0.1250 0.2500 0.3750
O 0.1250 0.3750 0.7500
O 0.2500 0.3750 0.1250
O 0.2500 0.8750 0.6250
O 0.3750 0.1250 0.2500
O 0.3750 0.7500 0.1250
O 0.6250 0.2500 0.8750
O 0.6250 0.8750 0.7500
O 0.7500 0.1250 0.3750
O 0.7500 0.6250 0.8750
O 0.8750 0.6250 0.2500
O 0.8750 0.7500 0.6250


No. 12
# TlBrO3

A relaxed structure of TlBrO3 (PBE-GGA, Alexandria via LeMat-Bulk).

## Properties
Formation energy (no corrections) ... 0.24 eV per atom
DOS at the Fermi energy ... 3.6 states/eV/f.u.

Unit cell a=3.9004 b=3.9004 c=6.7494 alpha=95.51 beta=95.51 gamma=116.94
Sites, in units of the cell vectors:
Tl 0.0000 0.0000 0.0000
Br 0.4557 0.4557 0.5098
O 0.0956 0.5615 0.1687
O 0.5034 0.5034 0.7861
O 0.5615 0.0956 0.1687


No. 13
# Tl4BrO2

A relaxed structure of Tl4BrO2 (PBE-GGA, Alexandria via LeMat-Bulk).

## Properties
Formation energy (no corrections) ... -0.53 eV per atom
DOS at the Fermi energy ... 2.9 states/eV/f.u.

Unit cell a=7.3279 b=7.3279 c=12.5723 alpha=90.00 beta=90.00 gamma=147.87
Sites, in units of the cell vectors:
Tl 0.0000 0.0000 0.0000
Tl 0.0000 0.0000 0.5000
Tl 0.2507 0.7493 0.6123
Tl 0.2507 0.7493 0.8877
Tl 0.4074 0.5926 0.2500
Tl 0.5926 0.4074 0.7500
Tl 0.7493 0.2507 0.1123
Tl 0.7493 0.2507 0.3877
Br 0.0787 0.9213 0.2500
Br 0.9213 0.0787 0.7500
O 0.3373 0.6627 0.0436
O 0.3373 0.6627 0.4564
O 0.6627 0.3373 0.5436
O 0.6627 0.3373 0.9564


No. 14
# UTl2Br4O2

A relaxed structure of UTl2Br4O2 (PBE-GGA, Alexandria via LeMat-Bulk).

## Properties
Formation energy (no corrections) ... -1.60 eV per atom
DOS at the Fermi energy ... 0.0 states/eV/f.u.

Unit cell a=7.3867 b=7.3867 c=5.8328 alpha=91.24 beta=91.24 gamma=65.07
Sites, in units of the cell vectors:
U 0.0000 0.0000 0.0000
Tl 0.3396 0.3396 0.2471
Tl 0.6604 0.6604 0.7529
Br 0.1356 0.6212 0.7698
Br 0.3788 0.8644 0.2302
Br 0.6212 0.1356 0.7698
Br 0.8644 0.3788 0.2302
O 0.0984 0.0984 0.7801
O 0.9016 0.9016 0.2199


No. 15
# U3Tl4BrO12

A relaxed structure of U3Tl4BrO12 (PBE-GGA, Alexandria via LeMat-Bulk).

## Properties
Formation energy (no corrections) ... -1.96 eV per atom
DOS at the Fermi energy ... 0.2 states/eV/f.u.

Unit cell a=7.6717 b=7.6717 c=7.6717 alpha=109.47 beta=109.47 gamma=109.47
Sites, in units of the cell vectors:
U 0.0000 0.5000 0.5000
U 0.5000 0.0000 0.5000
U 0.5000 0.5000 0.0000
Tl 0.0000 0.0000 0.5000
Tl 0.0000 0.5000 0.0000
Tl 0.5000 0.0000 0.0000
Tl 0.5000 0.5000 0.5000
Br 0.0000 0.0000 0.0000
O 0.0000 0.2833 0.2833
O 0.0000 0.7167 0.7167
O 0.2500 0.5000 0.7500
O 0.2500 0.7500 0.5000
O 0.2833 0.0000 0.2833
O 0.2833 0.2833 0.0000
O 0.5000 0.2500 0.7500
O 0.5000 0.7500 0.2500
O 0.7167 0.0000 0.7167
O 0.7167 0.7167 0.0000
O 0.7500 0.2500 0.5000
O 0.7500 0.5000 0.2500